P:
# BeSbP2Cl

Crystalline BeSbP2Cl at its relaxed geometry (PBE, Alexandria via LeMat-Bulk).

Cell: 4.561 4.561 4.276 Å, 90.00 90.00 90.00°
Sites, in units of the cell vectors:
Be (0.000, 0.000, 0.000)
Sb (0.500, 0.500, 0.500)
P (0.000, 0.500, 0.000)
P (0.500, 0.000, 0.000)
Cl (0.000, 0.000, 0.500)

Properties
D(E_F): 2.841 states/eV/cell
spin magnetization: 0.00 μB/atom

***

Q:
# BeSbP2Cl

Crystalline BeSbP2Cl at its relaxed geometry (PBE, Alexandria via LeMat-Bulk).

Cell: 5.105 5.105 5.087 Å, 90.00 90.00 90.00°
Sites, in units of the cell vectors:
Be (0.000, 0.000, 0.000)
Sb (0.500, 0.500, 0.500)
P (0.000, 0.500, 0.500)
P (0.500, 0.000, 0.500)
Cl (0.500, 0.500, 0.000)

Properties
D(E_F): 5.382 states/eV/cell
spin magnetization: 0.01 μB/atom

***

Which is most stable, and by how much? P, by 0.848 eV/atom.

***

P:
# BeSbPCl2

Crystalline BeSbPCl2 at its relaxed geometry (PBE, Alexandria via LeMat-Bulk).

Cell: 4.300 4.300 5.069 Å, 90.00 90.00 90.00°
Sites, in units of the cell vectors:
Be (0.000, 0.000, 0.000)
Sb (0.500, 0.500, 0.500)
P (0.000, 0.000, 0.500)
Cl (0.000, 0.500, 0.000)
Cl (0.500, 0.000, 0.000)

Properties
D(E_F): 2.756 states/eV/cell
spin magnetization: 0.00 μB/atom

***

Q:
# BeSbPCl2

Crystalline BeSbPCl2 at its relaxed geometry (PBE, Alexandria via LeMat-Bulk).

Cell: 5.139 5.139 5.396 Å, 90.00 90.00 90.00°
Sites, in units of the cell vectors:
Be (0.000, 0.000, 0.000)
Sb (0.500, 0.500, 0.500)
P (0.500, 0.500, 0.000)
Cl (0.000, 0.500, 0.500)
Cl (0.500, 0.000, 0.500)

Properties
D(E_F): 1.653 states/eV/cell
spin magnetization: 0.00 μB/atom

***

Which is most stable, and by how much? P, by 0.718 eV/atom.

***

P:
# ScBePCl2

Crystalline ScBePCl2 at its relaxed geometry (PBE, Alexandria via LeMat-Bulk).

Cell: 4.783 4.783 5.426 Å, 90.00 90.00 90.00°
Sites, in units of the cell vectors:
Sc (0.000, 0.000, 0.000)
Be (0.500, 0.500, 0.500)
P (0.000, 0.000, 0.500)
Cl (0.000, 0.500, 0.000)
Cl (0.500, 0.000, 0.000)

Properties
D(E_F): 1.716 states/eV/cell
spin magnetization: 0.00 μB/atom

***

Q:
# ScBePCl2

Crystalline ScBePCl2 at its relaxed geometry (PBE, Alexandria via LeMat-Bulk).

Cell: 4.131 4.131 5.512 Å, 90.00 90.00 90.00°
Sites, in units of the cell vectors:
Sc (0.000, 0.000, 0.000)
Be (0.500, 0.500, 0.500)
P (0.500, 0.500, 0.000)
Cl (0.000, 0.500, 0.500)
Cl (0.500, 0.000, 0.500)

Properties
D(E_F): 0.259 states/eV/cell
spin magnetization: 0.00 μB/atom

***

Which is most stable, and by how much? Q, by 0.306 eV/atom.

***

P:
# BeP2SeCl

Crystalline BeP2SeCl at its relaxed geometry (PBE, Alexandria via LeMat-Bulk).

Cell: 4.856 4.856 4.822 Å, 90.00 90.00 90.00°
Sites, in units of the cell vectors:
Be (0.000, 0.000, 0.000)
P (0.000, 0.500, 0.500)
P (0.500, 0.000, 0.500)
Se (0.500, 0.500, 0.500)
Cl (0.500, 0.500, 0.000)

Properties
D(E_F): 4.644 states/eV/cell
spin magnetization: 0.00 μB/atom

***

Q:
# BeP2SeCl

Crystalline BeP2SeCl at its relaxed geometry (PBE, Alexandria via LeMat-Bulk).

Cell: 4.537 4.537 4.124 Å, 90.00 90.00 90.00°
Sites, in units of the cell vectors:
Be (0.000, 0.000, 0.000)
P (0.000, 0.500, 0.000)
P (0.500, 0.000, 0.000)
Se (0.500, 0.500, 0.500)
Cl (0.000, 0.000, 0.500)

Properties
D(E_F): 2.488 states/eV/cell
spin magnetization: 0.00 μB/atom

***

Which is most stable, and by how much? Q, by 0.813 eV/atom.